First-principles (PBE) data for a geometry-optimized TaFeMo2 structure, as listed in Alexandria.

Cell and atoms, written as POSCAR:
```
TaFeMo2
1.0
5.133 -0.007 -0.026
4.153 3.015 -0.026
1.970 0.638 3.966
Fe Mo Ta
1 2 1
Direct
0.253 0.253 0.247
0.745 0.745 0.755
0.000 0.000 0.000
0.501 0.501 0.499
```

Properties
**Relative energy among the computed polymorphs**: 52 meV/atom
**E_form**: 22.3 meV per atom



First-principles (PBE) data for a geometry-optimized Pr2SmPu3Se6 structure, as listed in Alexandria.

Cell and atoms, written as POSCAR:
```
Pr2SmPu3Se6
1.0
4.178 0.000 0.000
0.000 8.394 0.273
-2.089 -2.447 8.812
Se Pu Pr Sm
6 3 2 1
Direct
0.667 0.077 0.334
0.336 0.410 0.672
0.997 0.250 0.995
0.003 0.750 0.005
0.664 0.590 0.328
0.333 0.923 0.666
0.500 0.500 0.000
0.832 0.166 0.665
0.168 0.834 0.335
0.167 0.334 0.334
0.833 0.666 0.666
0.500 0.000 0.000
```

Properties
**Final energy**: -98.59 eV/cell



First-principles (PBE) data for a geometry-optimized NaAgPb2 structure, as listed in Alexandria.

Cell and atoms, written as POSCAR:
```
NaAgPb2
1.0
4.985 0.000 0.000
2.493 4.317 0.000
2.493 1.439 5.437
Ag Pb Na
1 2 1
Direct
0.679 0.679 0.963
0.055 0.055 0.834
0.275 0.275 0.175
0.491 0.491 0.528
```

Properties
**E_form**: -33.7 meV per atom



First-principles (PBE) data for a geometry-optimized Rb3PbCl structure, as listed in Alexandria.

Cell and atoms, written as POSCAR:
```
Rb3PbCl
1.0
6.341 0.000 0.000
0.000 6.341 0.000
0.000 0.000 6.341
Pb Cl Rb
1 1 3
Direct
0.500 0.500 0.500
0.000 0.000 0.000
0.000 0.500 0.000
0.500 0.000 0.000
0.000 0.000 0.500
```

Properties
**Relative energy among the computed polymorphs**: 0 meV/atom



First-principles (PBE) data for a geometry-optimized AgOs8 structure, as listed in Alexandria.

Cell and atoms, written as POSCAR:
```
AgOs8
1.0
-4.134 4.134 1.934
4.134 -4.134 1.934
4.134 4.134 -1.934
Os Ag
8 1
Direct
0.000 0.658 0.658
0.658 0.000 0.658
0.675 0.675 0.349
0.675 0.325 0.000
0.325 0.675 0.000
0.000 0.342 0.342
0.325 0.325 0.651
0.342 0.000 0.342
0.000 0.000 0.000
```

Properties
**E_form**: 307.0 meV per atom



First-principles (PBE) data for a geometry-optimized Zr3Ti5O12 structure, as listed in Alexandria.

Cell and atoms, written as POSCAR:
```
Zr3Ti5O12
1.0
-6.880 7.641 2.872
-0.826 -1.770 -10.496
-2.240 -8.986 5.312
Ti O Zr
20 48 12
Direct
0.875 0.625 0.750
0.000 0.500 0.000
0.125 0.750 0.375
0.000 0.000 0.500
0.375 0.250 0.125
0.750 0.625 0.375
0.750 0.125 0.875
0.625 0.750 0.875
0.250 0.375 0.625
0.250 0.875 0.125
0.125 0.375 0.250
0.625 0.875 0.250
0.500 0.000 0.000
0.000 0.000 0.000
0.375 0.125 0.750
0.875 0.250 0.625
0.000 0.500 0.500
0.500 0.500 0.000
0.500 0.500 0.500
0.500 0.000 0.500
0.220 0.679 0.092
0.913 0.821 0.540
0.873 0.280 0.460
0.040 0.627 0.720
0.540 0.321 0.913
0.413 0.373 0.592
0.220 0.540 0.627
0.873 0.592 0.913
0.960 0.373 0.280
0.587 0.627 0.408
0.373 0.413 0.092
0.679 0.220 0.592
0.092 0.913 0.373
0.179 0.087 0.960
0.592 0.873 0.413
0.413 0.040 0.321
0.908 0.821 0.780
0.540 0.220 0.127
0.913 0.092 0.873
0.780 0.321 0.908
0.092 0.179 0.220
0.908 0.087 0.627
0.592 0.720 0.679
0.087 0.908 0.127
0.127 0.408 0.087
0.408 0.127 0.587
0.679 0.460 0.587
0.040 0.413 0.821
0.821 0.913 0.040
0.960 0.587 0.179
0.720 0.592 0.179
0.321 0.780 0.408
0.780 0.460 0.373
0.587 0.960 0.679
0.321 0.540 0.413
0.460 0.780 0.873
0.280 0.873 0.960
0.821 0.908 0.280
0.408 0.280 0.321
0.087 0.179 0.460
0.280 0.408 0.821
0.179 0.092 0.720
0.373 0.960 0.780
0.460 0.679 0.087
0.127 0.720 0.540
0.627 0.040 0.220
0.720 0.127 0.040
0.627 0.587 0.908
0.625 0.250 0.375
0.125 0.875 0.750
0.250 0.125 0.375
0.125 0.250 0.875
0.875 0.750 0.125
0.375 0.750 0.625
0.875 0.125 0.250
0.375 0.625 0.250
0.250 0.625 0.875
0.750 0.375 0.125
0.625 0.375 0.750
0.750 0.875 0.625
```

Properties
**Final energy**: -715.82 eV/cell



First-principles (PBE) data for a geometry-optimized La2Be2Au structure, as listed in Alexandria.

Cell and atoms, written as POSCAR:
```
La2Be2Au
1.0
-3.111 4.516 -3.891
3.550 -2.122 -5.301
-3.265 -3.074 -0.956
Be Au La
4 2 4
Direct
0.376 0.876 0.000
0.876 0.624 0.000
0.624 0.124 0.000
0.124 0.376 0.000
0.500 0.500 0.000
0.000 0.000 0.000
0.669 0.831 0.500
0.169 0.669 0.500
0.331 0.169 0.500
0.831 0.331 0.500
```

Properties
**E_form**: -137.3 meV per atom



First-principles (PBE) data for a geometry-optimized Hf5Ge2 structure, as listed in Alexandria.

Cell and atoms, written as POSCAR:
```
Hf5Ge2
1.0
-4.235 -2.151 2.886
2.457 -6.701 -1.388
5.790 1.929 4.584
Hf Ge
10 4
Direct
0.824 0.314 0.455
0.040 0.070 0.811
0.631 0.814 0.455
0.176 0.686 0.545
0.229 0.430 0.189
0.771 0.570 0.811
0.654 0.250 0.000
0.960 0.930 0.189
0.346 0.750 0.000
0.369 0.186 0.545
0.773 0.580 0.205
0.432 0.080 0.205
0.227 0.420 0.795
0.568 0.920 0.795
```

Properties
**E_form**: -430.7 meV per atom